First-principles (PBE) data for a relaxed MgTcBi2Cl crystal, as listed in Alexandria via LeMat-Bulk.

space group: P4/mmm
formation energy without anion corrections: 452.2 kJ/mol of formula units
electronic total energy: -0.124 hartree per atom

Lattice parameters (Å, degrees): 5.548 5.548 4.568 90.00 90.00 90.00
Fractional positions:
1 Mg 0.000 0.000 0.000
2 Tc 0.500 0.500 0.000
3 Bi 0.000 0.500 0.500
4 Bi 0.500 0.000 0.500
5 Cl 0.000 0.000 0.500



First-principles (PBE) data for a relaxed Tb4ErAg crystal, as listed in Alexandria via LeMat-Bulk.

space group: P4/mmm
electronic total energy: -0.162 hartree per atom
formation energy from the elements: -0.08 eV per atom

Lattice parameters (Å, degrees): 3.553 3.553 13.936 90.00 90.00 90.00
Fractional positions:
1 Tb 0.000 0.000 0.139
2 Tb 0.000 0.000 0.861
3 Tb 0.500 0.500 0.322
4 Tb 0.500 0.500 0.678
5 Er 0.000 0.000 0.500
6 Ag 0.500 0.500 0.000